Entry from the Alexandria database: a relaxed Y5In crystal (PBE-GGA).

The structure belongs to space group P6/mmm (No. 191); the cell edges are 6.4060, 6.4060 and 5.7771 Å and the angles 90.00°, 90.00° and 120.00°. The inequivalent atoms are Y at (0.0000, 0.5000, 0.0000), Y at (0.3333, 0.6667, 0.5000) and In at (0.0000, 0.0000, 0.5000).

As for the raw total energy: -32.5 eV for the cell shown. As for the total magnetization: 0.004 μB per atom. The value obtained for the formation energy is 0.42 eV/atom. The value obtained for the relative energy among the computed polymorphs is 587.0 meV per atom.